AcPr5Bi6 | PBE | relaxed

Unit cell a=8.1127 b=8.1127 c=8.1140 alpha=99.61 beta=99.61 gamma=120.00
With the nearest neighbours (Å) after each atom.
Sites, in units of the cell vectors:
Ac (0.0000, 0.0000, 0.0000)  6 Bi 3.37-3.38
Pr (0.1644, 0.8356, 0.5000)  6 Bi 3.27-3.32
Pr (0.3325, 0.6675, 0.0000)  6 Bi 3.30-3.31
Pr (0.5000, 0.5000, 0.5000)  6 Bi 3.26-3.31
Pr (0.6675, 0.3325, 0.0000)  6 Bi 3.30-3.31
Pr (0.8356, 0.1644, 0.5000)  6 Bi 3.27-3.32
Bi (0.0853, 0.4252, 0.2550)  5 Pr 3.27-3.32, 1 Ac 3.38
Bi (0.2563, 0.2563, 0.7475)  5 Pr 3.26-3.31, 1 Ac 3.37
Bi (0.4252, 0.0853, 0.2550)  5 Pr 3.27-3.32, 1 Ac 3.38
Bi (0.5748, 0.9147, 0.7450)  5 Pr 3.27-3.32, 1 Ac 3.38
Bi (0.7437, 0.7437, 0.2525)  5 Pr 3.26-3.31, 1 Ac 3.37
Bi (0.9147, 0.5748, 0.7450)  5 Pr 3.27-3.32, 1 Ac 3.38

Calculated values
SG   C2/m
Energy of formation   -960.1 meV/atom
Size of the total moment   0.0 μB per formula unit
Uncorrected energy   -5.23 eV/atom


NaLi2Al | PBE | relaxed

Unit cell a=5.0504 b=5.0504 c=3.0333 alpha=90.00 beta=90.00 gamma=90.00
With the nearest neighbours (Å) after each atom.
Sites, in units of the cell vectors:
Na (0.0000, 0.0000, 0.0000)  8 Li 2.95, 2 Na 3.03
Li (0.0000, 0.5000, 0.5000)  4 Na 2.95, 4 Al 2.95, 2 Li 3.03
Li (0.5000, 0.0000, 0.5000)  4 Na 2.95, 4 Al 2.95, 2 Li 3.03
Al (0.5000, 0.5000, 0.0000)  8 Li 2.95, 2 Al 3.03

Calculated values
SG   P4/mmm
Energy of formation   23.3 meV/atom
Size of the total moment   0.0 μB per formula unit
Uncorrected energy   -2.20 eV/atom


TlTcN2F | PBE | relaxed

Unit cell a=4.3018 b=4.3018 c=4.3721 alpha=90.00 beta=90.00 gamma=90.00
With the nearest neighbours (Å) after each atom.
Sites, in units of the cell vectors:
Tl (0.0000, 0.0000, 0.0000)  4 N 2.15, 2 F 2.19
Tc (0.5000, 0.5000, 0.5000)  4 F 3.04, 8 N 3.07
N (0.0000, 0.5000, 0.0000)  2 Tl 2.15
N (0.5000, 0.0000, 0.0000)  2 Tl 2.15
F (0.0000, 0.0000, 0.5000)  2 Tl 2.19

Calculated values
SG   P4/mmm
Size of the total moment   3.5 μB per formula unit
ΔE to the lowest computed polymorph   1654 meV/atom
Uncorrected energy   -4.67 eV/atom


FePCSe | PBE | relaxed

Unit cell a=3.7006 b=2.9243 c=5.3687 alpha=90.00 beta=97.51 gamma=90.00
With the nearest neighbours (Å) after each atom.
Sites, in units of the cell vectors:
Fe (0.0000, 0.0000, 0.0000)  1 C 1.91
P (0.2643, 0.5000, 0.7314)  2 C 1.77
C (0.5154, 0.0000, 0.8260)  2 P 1.77, 1 Fe 1.91
Se (0.8837, 0.5000, 0.3142)  2 Fe 2.31, 1 P 2.49

Calculated values
SG   Pm
Size of the total moment   0.0 μB per formula unit
ΔE to the lowest computed polymorph   82 meV/atom
Uncorrected energy   -6.28 eV/atom


AcHgTe | PBE | relaxed

Unit cell a=5.2162 b=5.2162 c=4.1968 alpha=90.00 beta=90.00 gamma=120.00
With the nearest neighbours (Å) after each atom.
Sites, in units of the cell vectors:
Ac (0.0000, 0.0000, 0.0000)  3 Hg 3.32, 3 Te 3.54
Hg (0.6667, 0.3333, 0.3313)  3 Te 3.16, 3 Ac 3.32
Te (0.3333, 0.6667, 0.5588)  3 Hg 3.16, 3 Ac 3.54

Calculated values
SG   P3m1
Size of the total moment   0.0 μB per formula unit
ΔE to the lowest computed polymorph   192 meV/atom
Uncorrected energy   -3.29 eV/atom


ZnGaSe | PBE | relaxed

Unit cell a=3.7920 b=5.6816 c=6.2159 alpha=104.30 beta=95.66 gamma=99.59
With the nearest neighbours (Å) after each atom.
Sites, in units of the cell vectors:
Zn (0.0000, 0.0000, 0.0000)  3 Se 2.53-2.78, 1 Zn 2.60, 1 Ga 2.62
Zn (0.1691, 0.6643, 0.1863)  1 Zn 2.60, 3 Se 2.62-2.85, 2 Ga 2.71-2.84
Ga (0.3890, 0.3460, 0.5934)  3 Se 2.61-2.84, 2 Ga 2.69-2.74
Ga (0.7639, 0.0174, 0.3849)  3 Zn 2.62-2.84, 1 Se 2.68, 2 Ga 2.69-2.74
Se (0.5429, 0.3357, 0.0091)  4 Zn 2.55-2.78, 1 Ga 2.61
Se (0.9429, 0.7039, 0.6155)  1 Zn 2.53, 2 Ga 2.64-2.68

Calculated values
SG   P1
Size of the total moment   0.0 μB per formula unit
ΔE to the lowest computed polymorph   105 meV/atom
Uncorrected energy   -2.82 eV/atom


LiMgTa2 | PBE | relaxed

Unit cell a=5.6291 b=5.6291 c=5.6291 alpha=140.24 beta=140.24 gamma=57.48
With the nearest neighbours (Å) after each atom.
Sites, in units of the cell vectors:
Li (0.0000, 0.0000, 0.0000)  4 Mg 2.71
Mg (0.5000, 0.5000, 0.0000)  4 Li 2.71
Ta (0.2500, 0.7500, 0.5000)  4 Ta 2.71
Ta (0.7500, 0.2500, 0.5000)  4 Ta 2.71

Calculated values
SG   I4/mmm
Energy of formation   435.2 meV/atom
Size of the total moment   0.0 μB per formula unit
Uncorrected energy   -6.37 eV/atom


HoErMo4 | PBE | relaxed

Unit cell a=5.5047 b=5.5047 c=5.5047 alpha=60.00 beta=60.00 gamma=60.00
With the nearest neighbours (Å) after each atom.
Sites, in units of the cell vectors:
Ho (0.0000, 0.0000, 0.0000)  12 Mo 3.23, 4 Er 3.37
Er (0.7500, 0.7500, 0.7500)  12 Mo 3.23, 4 Ho 3.37
Mo (0.3750, 0.3750, 0.3750)  6 Mo 2.75
Mo (0.3750, 0.3750, 0.8751)  6 Mo 2.75
Mo (0.3750, 0.8751, 0.3750)  6 Mo 2.75
Mo (0.8751, 0.3750, 0.3750)  6 Mo 2.75

Calculated values
SG   F-43m
Energy of formation   67.8 meV/atom
Size of the total moment   0.0 μB per formula unit
Uncorrected energy   -8.68 eV/atom


> Look up the uncorrected energy of the fourth one.

-6.28 eV/atom


> Look up the size of the total moment of the third one.

3.5 μB per formula unit


> The highest uncorrected energy belongs to which entry?

NaLi2Al


> size of the total moment of number 2 (NaLi2Al)?

0.0 μB per formula unit